# Na12MgTl7 PBE optimized geometry
# Energy relative to the elements ... -1.33 eV per formula unit
data_Na12MgTl7
_chemical_formula_sum 'Na12 Mg1 Tl7'
_cell_length_a 8.6511
_cell_length_b 8.6511
_cell_length_c 8.6511
_cell_angle_alpha 101.78
_cell_angle_beta 101.78
_cell_angle_gamma 101.77
_space_group_name_H-M_alt 'P 1'
_space_group_IT_number 1
_space_group_name_Hall 'P 1'
loop_
_atom_site_label
_atom_site_type_symbol
_atom_site_fract_x
_atom_site_fract_y
_atom_site_fract_z
Na1 Na 0.7615 0.2375 0.4932
Na2 Na 0.5068 0.2385 0.7625
Na3 Na 0.9160 0.6575 0.6767
Na4 Na 0.3233 0.0840 0.3425
Na5 Na 0.7625 0.5068 0.2385
Na6 Na 0.3425 0.3233 0.0840
Na7 Na 0.6575 0.6767 0.9160
Na8 Na 0.2375 0.4932 0.7615
Na9 Na 0.6767 0.9160 0.6575
Na10 Na 0.0840 0.3425 0.3233
Na11 Na 0.4932 0.7615 0.2375
Na12 Na 0.2385 0.7625 0.5068
Mg1 Mg 0.0000 0.0000 0.0000
Tl1 Tl 0.3170 0.9016 0.9116
Tl2 Tl 0.0884 0.6830 0.0984
Tl3 Tl 0.0984 0.0884 0.6830
Tl4 Tl 0.5000 0.5000 0.5000
Tl5 Tl 0.9016 0.9116 0.3170
Tl6 Tl 0.9116 0.3170 0.9016
Tl7 Tl 0.6830 0.0984 0.0884



# Na5MgTl4 PBE optimized geometry
# Energy relative to the elements ... -0.46 eV per formula unit
data_Na5MgTl4
_chemical_formula_sum 'Na5 Mg1 Tl4'
_cell_length_a 3.7975
_cell_length_b 3.7975
_cell_length_c 19.5753
_cell_angle_alpha 90.00
_cell_angle_beta 90.00
_cell_angle_gamma 90.00
_space_group_name_H-M_alt 'P 1'
_space_group_IT_number 1
_space_group_name_Hall 'P 1'
loop_
_atom_site_label
_atom_site_type_symbol
_atom_site_fract_x
_atom_site_fract_y
_atom_site_fract_z
Na1 Na 0.5000 0.5000 0.1022
Na2 Na 0.5000 0.5000 0.2997
Na3 Na 0.5000 0.5000 0.5000
Na4 Na 0.5000 0.5000 0.7003
Na5 Na 0.5000 0.5000 0.8978
Mg1 Mg 0.0000 0.0000 0.0000
Tl1 Tl 0.0000 0.0000 0.1974
Tl2 Tl 0.0000 0.0000 0.3996
Tl3 Tl 0.0000 0.0000 0.6004
Tl4 Tl 0.0000 0.0000 0.8026



# NaMg2Tl2 PBE optimized geometry
# Energy relative to the elements ... 0.00 eV per formula unit
data_NaMg2Tl2
_chemical_formula_sum 'Na1 Mg2 Tl2'
_cell_length_a 4.4753
_cell_length_b 4.4753
_cell_length_c 7.7267
_cell_angle_alpha 73.17
_cell_angle_beta 73.17
_cell_angle_gamma 90.00
_space_group_name_H-M_alt 'P 1'
_space_group_IT_number 1
_space_group_name_Hall 'P 1'
loop_
_atom_site_label
_atom_site_type_symbol
_atom_site_fract_x
_atom_site_fract_y
_atom_site_fract_z
Na1 Na 0.0000 0.0000 0.0000
Tl1 Tl 0.3937 0.3937 0.2126
Tl2 Tl 0.6063 0.6063 0.7874
Mg1 Mg 0.7500 0.2500 0.5000
Mg2 Mg 0.2500 0.7500 0.5000



# NaMg3Tl4 PBE optimized geometry
# Energy relative to the elements ... -0.08 eV per formula unit
data_NaMg3Tl4
_chemical_formula_sum 'Na1 Mg3 Tl4'
_cell_length_a 3.4214
_cell_length_b 5.2347
_cell_length_c 11.8605
_cell_angle_alpha 90.00
_cell_angle_beta 90.00
_cell_angle_gamma 90.00
_space_group_name_H-M_alt 'P 1'
_space_group_IT_number 1
_space_group_name_Hall 'P 1'
loop_
_atom_site_label
_atom_site_type_symbol
_atom_site_fract_x
_atom_site_fract_y
_atom_site_fract_z
Na1 Na 0.5000 0.5000 0.0861
Mg1 Mg 0.0000 0.5000 0.5854
Mg2 Mg 0.0000 0.0000 0.4141
Mg3 Mg 0.5000 0.0000 0.9119
Tl1 Tl 0.5000 0.5000 0.3577
Tl2 Tl 0.0000 0.5000 0.8421
Tl3 Tl 0.0000 0.0000 0.1547
Tl4 Tl 0.5000 0.0000 0.6481



no.,calculated volume (Å³/atom),total DFT energy (no corrections) (eV per atom)
1,29.99,-1.77
2,28.23,-1.81
3,28.24,-1.85
4,26.55,-1.96